(1)
Computed, not measured: a relaxed structure of Tb10CeSm4 at the GGA-PBE level of DFT.

Results
The magnetization is 0.00 μB/f.u. The energy of formation from the pure elements is 253 meV/atom.

Cell lengths 8.0075, 8.8808, 8.8808 Å; angles 78.27, 63.20, 63.20 degrees
Fractional coordinates of all 15 atoms:
Tb 0.7066 0.2073 0.7926
Tb 0.2934 0.2073 0.7926
Tb 0.7500 0.5000 0.5000
Tb 0.2500 0.5000 0.5000
Tb 0.9140 0.7926 0.7927
Tb 0.2934 0.7927 0.2074
Tb 0.5008 0.7926 0.7927
Tb 0.7066 0.7927 0.2074
Tb 0.4992 0.2074 0.2073
Tb 0.0860 0.2074 0.2073
Sm 0.2265 0.5470 0.9999
Sm 0.2265 0.0001 0.5470
Sm 0.7735 0.9999 0.4530
Sm 0.7735 0.4530 0.0001
Ce 0.0000 0.0000 0.0000


(2)
Computed, not measured: a relaxed structure of Tb2CeSm6 at the GGA-PBE level of DFT.

Results
The magnetization is 1.11 μB/f.u. The energy of formation from the pure elements is 207 meV/atom.

Cell lengths 3.4378, 6.0796, 17.5567 Å; angles 116.76, 84.38, 73.58 degrees
Last column: magnetic moment on the atom in μB.
Fractional coordinates of all 9 atoms:
Sm 0.8978 0.8081 0.3963  0.03
Sm 0.5625 0.8103 0.0648  -0.01
Sm 0.7717 0.1832 0.2733  0.01
Sm 0.2283 0.8168 0.7267  0.01
Sm 0.4375 0.1897 0.9352  -0.01
Sm 0.1022 0.1919 0.6037  0.03
Tb 0.8287 0.5083 0.8343  -0.01
Tb 0.1713 0.4917 0.1657  -0.01
Ce 0.5000 0.5000 0.5000  0.78